Run a
A plane-wave DFT calculation with PBE was carried out for Ho7Tm4Mg after structural relaxation.

The density of states at the Fermi level is 2.026 states/eV per atom.

The structure belongs to space group P-3m1 (No. 164); the cell edges are 5.5217, 5.5217 and 13.7820 Å and the angles 90.00°, 90.00° and 120.00°. Symmetry generates all atoms from Ho at (0.0000, 0.0000, 0.0000), Ho at (0.0000, 0.0000, 0.2654), Ho at (0.3333, 0.6667, 0.1718), Ho at (0.3333, 0.6667, 0.4235), Tm at (0.3333, 0.6667, 0.6814), Tm at (0.3333, 0.6667, 0.9256) and Mg at (0.0000, 0.0000, 0.5000).


Run b
A plane-wave DFT calculation with PBE was carried out for Ho7Tm4Mg after structural relaxation.

The density of states at the Fermi level is 1.679 states/eV per atom.

The structure belongs to space group C2/m (No. 12); the cell edges are 11.810, 5.737 and 12.416 Å and the angles 90.00°, 115.51° and 90.00°. Symmetry generates all atoms from Ho at (0.000, 0.000, 0.000), Ho at (0.096, 0.500, 0.278), Ho at (0.133, 0.000, 0.477), Ho at (0.202, 0.500, 0.921), Tm at (0.129, 0.000, 0.773), Tm at (0.147, 0.500, 0.627) and Mg at (0.000, 0.500, 0.000).


Stability summary: most stable run a, least stable run b.


Run a
A plane-wave DFT calculation with PBE was carried out for Ho2Tm7Mg2 after structural relaxation.

The density of states at the Fermi level is 1.379 states/eV per atom.

The structure belongs to space group C2/m (No. 12); the cell edges are 9.249, 9.220 and 7.980 Å and the angles 90.00°, 104.13° and 90.00°. Symmetry generates all atoms from Ho at (0.000, 0.180, 0.000), Tm at (0.000, 0.000, 0.500), Tm at (0.189, 0.296, 0.679), Tm at (0.192, 0.500, 0.030) and Mg at (0.094, 0.500, 0.353).


Run b
A plane-wave DFT calculation with PBE was carried out for Ho2Tm7Mg2 after structural relaxation.

The density of states at the Fermi level is 1.318 states/eV per atom.

The structure belongs to space group C2/m (No. 12); the cell edges are 6.926, 9.625 and 9.839 Å and the angles 90.00°, 93.03° and 90.00°. Symmetry generates all atoms from Ho at (0.000, 0.206, 0.000), Tm at (0.000, 0.500, 0.500), Tm at (0.113, 0.202, 0.349), Tm at (0.152, 0.500, 0.854) and Mg at (0.213, 0.000, 0.794).


Stability summary: most stable run b, least stable run a.


Run a
A plane-wave DFT calculation with PBE was carried out for Ho2Tm2Mg after structural relaxation.

The density of states at the Fermi level is 1.740 states/eV per atom.

The structure belongs to space group I4_1/amd (No. 141, origin choice 2); the cell edges are 5.051, 5.051 and 24.923 Å and the angles 90.00°, 90.00° and 90.00°. Symmetry generates all atoms from Ho at (0.000, 0.250, 0.050), Tm at (0.000, 0.250, 0.205) and Mg at (0.000, 0.250, 0.375).


Run b
A plane-wave DFT calculation with PBE was carried out for Ho2Tm2Mg after structural relaxation.

The density of states at the Fermi level is 1.610 states/eV per atom.

The structure belongs to space group Immm (No. 71); the cell edges are 3.505, 3.515 and 23.663 Å and the angles 90.00°, 90.00° and 90.00°. Symmetry generates all atoms from Ho at (0.000, 0.000, 0.095), Tm at (0.000, 0.000, 0.302) and Mg at (0.000, 0.000, 0.500).


Stability summary: most stable run b, least stable run a.


Run a
A plane-wave DFT calculation with PBE was carried out for Ho2TmMg2 after structural relaxation.

The density of states at the Fermi level is 1.060 states/eV per atom.

The structure belongs to space group Cmcm (No. 63); the cell edges are 3.695, 27.705 and 5.389 Å and the angles 90.00°, 90.00° and 90.00°. Symmetry generates all atoms from Ho at (0.000, 0.044, 0.250), Ho at (0.000, 0.237, 0.250), Tm at (0.000, 0.153, 0.750), Mg at (0.000, 0.360, 0.750) and Mg at (0.000, 0.445, 0.250).


Run b
A plane-wave DFT calculation with PBE was carried out for Ho2TmMg2 after structural relaxation.

The density of states at the Fermi level is 1.200 states/eV per atom.

The structure belongs to space group Cmcm (No. 63); the cell edges are 4.918, 23.042 and 4.900 Å and the angles 90.00°, 90.00° and 90.00°. Symmetry generates all atoms from Ho at (0.000, 0.052, 0.250), Ho at (0.000, 0.444, 0.250), Tm at (0.000, 0.160, 0.750), Mg at (0.000, 0.250, 0.250) and Mg at (0.000, 0.337, 0.750).


Stability summary: most stable run a, least stable run b.


Run a
A plane-wave DFT calculation with PBE was carried out for Ho4Tm5Mg2 after structural relaxation.

The density of states at the Fermi level is 1.681 states/eV per atom.

The structure belongs to space group Immm (No. 71); the cell edges are 3.386, 8.752 and 22.697 Å and the angles 90.00°, 90.00° and 90.00°. Symmetry generates all atoms from Ho at (0.000, 0.000, 0.232), Ho at (0.000, 0.319, 0.500), Tm at (0.000, 0.196, 0.361), Tm at (0.000, 0.500, 0.000) and Mg at (0.000, 0.000, 0.099).


Run b
A plane-wave DFT calculation with PBE was carried out for Ho4Tm5Mg2 after structural relaxation.

The density of states at the Fermi level is 1.302 states/eV per atom.

The structure belongs to space group P-1 (No. 2); the cell edges are 3.448, 8.042 and 11.916 Å and the angles 90.48°, 90.02° and 102.30°. Symmetry generates all atoms from Ho at (0.055, 0.109, 0.295), Ho at (0.368, 0.736, 0.182), Tm at (0.000, 0.000, 0.000), Tm at (0.256, 0.512, 0.628), Tm at (0.317, 0.634, 0.902) and Mg at (0.412, 0.824, 0.457).


Stability summary: most stable run b, least stable run a.


Run a
A plane-wave DFT calculation with PBE was carried out for HoTm4Mg2 after structural relaxation.

The density of states at the Fermi level is 1.378 states/eV per atom.

The structure belongs to space group R-3m (No. 166, hexagonal axes); the cell edges are 5.3736, 5.3736 and 23.8881 Å and the angles 90.00°, 90.00° and 120.00°. Symmetry generates all atoms from Ho at (0.0000, 0.0000, 0.0000), Tm at (0.0000, 0.0000, 0.2912), Tm at (0.0000, 0.0000, 0.4307) and Mg at (0.0000, 0.0000, 0.1482).


Run b
A plane-wave DFT calculation with PBE was carried out for HoTm4Mg2 after structural relaxation.

The density of states at the Fermi level is 0.919 states/eV per atom.

The structure belongs to space group Cmmm (No. 65); the cell edges are 3.466, 34.289 and 3.422 Å and the angles 90.00°, 90.00° and 90.00°. Symmetry generates all atoms from Ho at (0.000, 0.000, 0.000), Tm at (0.000, 0.145, 0.000), Tm at (0.000, 0.426, 0.500) and Mg at (0.000, 0.288, 0.500).


Stability summary: most stable run b, least stable run a.


Run a
A plane-wave DFT calculation with PBE was carried out for Ho2Tm5Mg after structural relaxation.

The density of states at the Fermi level is 1.509 states/eV per atom.

The structure belongs to space group P-1 (No. 2); the cell edges are 3.514, 8.501 and 16.215 Å and the angles 98.38°, 96.20° and 90.02°. Symmetry generates all atoms from Ho at (0.021, 0.305, 0.041), Ho at (0.230, 0.322, 0.460), Tm at (0.173, 0.620, 0.345), Tm at (0.294, 0.029, 0.589), Tm at (0.371, 0.716, 0.743), Tm at (0.423, 0.373, 0.848), Tm at (0.453, 0.014, 0.907) and Mg at (0.125, 0.941, 0.248).


Run b
A plane-wave DFT calculation with PBE was carried out for Ho2Tm5Mg after structural relaxation.

The density of states at the Fermi level is 1.225 states/eV per atom.

The structure belongs to space group I4/mmm (No. 139); the cell edges are 6.922, 6.922 and 9.842 Å and the angles 90.00°, 90.00° and 90.00°. Symmetry generates all atoms from Ho at (0.000, 0.500, 0.000), Tm at (0.000, 0.000, 0.000), Tm at (0.250, 0.250, 0.250) and Mg at (0.000, 0.000, 0.500).


Stability summary: most stable run b, least stable run a.


Run a
A plane-wave DFT calculation with PBE was carried out for Ho7Tm12Mg after structural relaxation.

The density of states at the Fermi level is 1.555 states/eV per atom.

The structure belongs to space group R-3 (No. 148, hexagonal axes); the cell edges are 11.7224, 11.7224 and 15.7805 Å and the angles 90.00°, 90.00° and 120.00°. Symmetry generates all atoms from Ho at (0.0000, 0.0000, 0.0000), Ho at (0.0567, 0.1904, 0.2920), Tm at (0.0315, 0.4567, 0.2192), Tm at (0.0524, 0.5860, 0.5840) and Mg at (0.0000, 0.0000, 0.5000).


Run b
A plane-wave DFT calculation with PBE was carried out for Ho7Tm12Mg after structural relaxation.

The density of states at the Fermi level is 1.442 states/eV per atom.

The structure belongs to space group Im-3 (No. 204); the cell edges are 11.877, 11.877 and 11.877 Å and the angles 90.00°, 90.00° and 90.00°. Symmetry generates all atoms from Ho at (0.000, 0.000, 0.500), Ho at (0.250, 0.250, 0.250), Tm at (0.000, 0.262, 0.360) and Mg at (0.000, 0.000, 0.000).


Stability summary: most stable run a, least stable run b.


Run a
A plane-wave DFT calculation with PBE was carried out for Ho8TmMg2 after structural relaxation.

The density of states at the Fermi level is 1.359 states/eV per atom.

The structure belongs to space group C2/m (No. 12); the cell edges are 16.396, 5.296 and 8.342 Å and the angles 90.00°, 115.80° and 90.00°. Symmetry generates all atoms from Ho at (0.057, 0.000, 0.234), Ho at (0.100, 0.500, 0.970), Ho at (0.146, 0.000, 0.700), Ho at (0.188, 0.500, 0.451), Tm at (0.000, 0.500, 0.500) and Mg at (0.227, 0.000, 0.128).


Run b
A plane-wave DFT calculation with PBE was carried out for Ho8TmMg2 after structural relaxation.

The density of states at the Fermi level is 1.316 states/eV per atom.

The structure belongs to space group C2/m (No. 12); the cell edges are 8.686, 15.386 and 5.585 Å and the angles 90.00°, 115.55° and 90.00°. Symmetry generates all atoms from Ho at (0.000, 0.212, 0.000), Ho at (0.095, 0.500, 0.798), Ho at (0.209, 0.111, 0.629), Tm at (0.000, 0.000, 0.000) and Mg at (0.000, 0.307, 0.500).


Stability summary: most stable run a, least stable run b.


Run a
A plane-wave DFT calculation with PBE was carried out for Ho2Tm6Mg after structural relaxation.

The density of states at the Fermi level is 1.680 states/eV per atom.

The structure belongs to space group P-6m2 (No. 187); the cell edges are 3.5013, 3.5013 and 25.6526 Å and the angles 90.00°, 90.00° and 120.00°. Symmetry generates all atoms from Ho at (0.0000, 0.0000, 0.1733), Tm at (0.0000, 0.0000, 0.3925), Tm at (0.6667, 0.3333, 0.0649), Tm at (0.6667, 0.3333, 0.2838) and Mg at (0.6667, 0.3333, 0.5000).


Run b
A plane-wave DFT calculation with PBE was carried out for Ho2Tm6Mg after structural relaxation.

The density of states at the Fermi level is 1.433 states/eV per atom.

The structure belongs to space group P4_2/mnm (No. 136); the cell edges are 10.366, 10.366 and 4.956 Å and the angles 90.00°, 90.00° and 90.00°. Symmetry generates all atoms from Ho at (0.166, 0.166, 0.000), Tm at (0.000, 0.334, 0.500), Tm at (0.168, 0.832, 0.000) and Mg at (0.000, 0.000, 0.500).


Stability summary: most stable run b, least stable run a.